[1]
The following is a DFT calculation (PBE) of a relaxed Ac2BiSb4 crystal.

* VASP energy: -4.73 eV per atom

a = 4.5387 Å, b = 4.5387 Å, c = 12.0602 Å
α = 90.00°, β = 90.00°, γ = 90.00°
With the nearest neighbours (Å) after each atom.
Positions (direct):
Ac (0.0000, 0.5000, 0.2830)  8 Sb 3.43-3.46
Ac (0.5000, 0.0000, 0.7170)  8 Sb 3.43-3.46
Bi (0.5000, 0.5000, 0.0000)  4 Sb 3.16
Sb (0.5000, 0.0000, 0.1820)  2 Bi 3.16, 4 Ac 3.43
Sb (0.0000, 0.0000, 0.5000)  4 Sb 3.21, 4 Ac 3.46
Sb (0.5000, 0.5000, 0.5000)  4 Sb 3.21, 4 Ac 3.46
Sb (0.0000, 0.5000, 0.8180)  2 Bi 3.16, 4 Ac 3.43

=====

[2]
The following is a DFT calculation (PBE) of a relaxed CdSiAg2 crystal.

* distance to the lowest polymorph of the same formula: 71 meV per atom

a = 4.6544 Å, b = 2.9446 Å, c = 5.5377 Å
α = 75.01°, β = 90.00°, γ = 90.00°
With the nearest neighbours (Å) after each atom.
Positions (direct):
Si (0.5000, 0.9235, 0.7626)  5 Ag 2.63-2.91, 2 Si 2.94
Ag (0.0000, 0.8202, 0.9935)  2 Si 2.63, 1 Cd 2.79, 2 Ag 2.94
Ag (0.5000, 0.2035, 0.2295)  3 Si 2.85-2.91, 6 Ag 2.94-3.03, 4 Cd 3.13-3.16
Cd (0.0000, 0.5528, 0.5144)  3 Ag 2.79-2.96, 2 Cd 2.94, 4 Si 3.05-3.07

=====

[3]
The following is a DFT calculation (PBE) of a relaxed BaSr2Li crystal.

* distance to the lowest polymorph of the same formula: 0 meV per atom

a = 4.3675 Å, b = 4.3675 Å, c = 10.2305 Å
α = 90.00°, β = 90.00°, γ = 90.00°
With the nearest neighbours (Å) after each atom.
Positions (direct):
Ba (0.0000, 0.0000, 0.5453)  4 Li 3.81, 1 Sr 4.17
Sr (0.5000, 0.5000, 0.2384)  8 Sr 4.25-4.37, 4 Ba 4.40
Sr (0.0000, 0.0000, 0.9532)  4 Li 3.65
Li (0.5000, 0.5000, 0.7631)  4 Sr 3.65, 4 Ba 3.81

=====

Number 1: ρ 7687 kg/m3. Number 2: ρ 8069 kg/m3. Number 3: ρ 2719 kg/m3.